Compound: Tl2Se
Source: Alexandria
Functional: GGA-PBEsol
Structure: relaxed

Results
**Relative energy among the computed polymorphs**: 61 meV/atom
**Formation energy (no corrections)**: -246 meV/atom
**Fermi-level density of states**: 0.183 states/eV per atom
**Space group**: No. 194

POSCAR file:
```
Tl2Se
1.0
5.346 0.000 0.000
-2.673 4.630 0.000
0.000 0.000 6.666
Tl Se
4 2
direct
0.000 0.000 0.000 Tl
0.000 0.000 0.500 Tl
0.333 0.667 0.250 Tl
0.667 0.333 0.750 Tl
0.333 0.667 0.750 Se
0.667 0.333 0.250 Se
```

Compound: Zr2HgRu
Source: Alexandria
Functional: GGA-PBEsol
Structure: relaxed

Results
**Energy of formation**: -0.417 eV/atom
**Fermi-level density of states**: 0.754 states/eV per atom
**Space group**: No. 123

POSCAR file:
```
Zr2HgRu
1.0
3.207 0.000 0.000
0.000 3.207 0.000
0.000 0.000 7.334
Zr Hg Ru
2 1 1
direct
0.000 0.000 0.221 Zr
0.000 0.000 0.779 Zr
0.500 0.500 0.500 Hg
0.500 0.500 0.000 Ru
```

Compound: MgRe2F
Source: Alexandria
Functional: GGA-PBEsol
Structure: relaxed

Results
**Formation energy (no corrections)**: 1223 meV/atom
**Fermi-level density of states**: 1.385 states/eV per atom
**Space group**: No. 225

POSCAR file:
```
MgRe2F
1.0
0.000 3.030 3.030
3.030 0.000 3.030
3.030 3.030 0.000
Mg Re F
1 2 1
direct
0.000 0.000 0.000 Mg
0.250 0.250 0.250 Re
0.750 0.750 0.750 Re
0.500 0.500 0.500 F
```

Compound: ZnCu2Sb
Source: Alexandria
Functional: GGA-PBEsol
Structure: relaxed

Results
**Relative energy among the computed polymorphs**: 6 meV/atom
**Formation energy (no corrections)**: 140 meV/atom
**Fermi-level density of states**: 0.325 states/eV per atom
**Space group**: No. 25

POSCAR file:
```
ZnCu2Sb
1.0
3.271 0.000 0.000
0.000 3.696 0.000
0.000 0.000 5.147
Zn Cu Sb
1 2 1
direct
0.000 0.000 0.000 Zn
0.000 0.000 0.465 Cu
0.500 0.500 0.201 Cu
0.500 0.500 0.696 Sb
```

Compound: Ba9Nd2S12
Source: Alexandria
Functional: GGA-PBEsol
Structure: relaxed

Results
**Formation energy (no corrections)**: -2049 meV/atom
**Fermi-level density of states**: 0.000 states/eV per atom
**Space group**: No. 12

POSCAR file:
```
Ba9Nd2S12
1.0
3.821 -6.617 0.000
3.821 6.617 0.000
-2.546 0.000 14.283
Ba Nd S
9 2 12
direct
0.000 0.000 0.000 Ba
0.100 0.421 0.262 Ba
0.259 0.259 0.738 Ba
0.330 0.670 0.000 Ba
0.421 0.100 0.262 Ba
0.579 0.900 0.738 Ba
0.670 0.330 0.000 Ba
0.741 0.741 0.262 Ba
0.900 0.579 0.738 Ba
0.167 0.833 0.500 Nd
0.833 0.167 0.500 Nd
0.044 0.711 0.133 S
0.097 0.097 0.391 S
0.170 0.536 0.609 S
0.289 0.956 0.867 S
0.376 0.376 0.126 S
0.464 0.830 0.391 S
0.536 0.170 0.609 S
0.624 0.624 0.874 S
0.711 0.044 0.133 S
0.830 0.464 0.391 S
0.903 0.903 0.609 S
0.956 0.289 0.867 S
```

Compound: AlSbAu
Source: Alexandria
Functional: GGA-PBEsol
Structure: relaxed

Results
**Relative energy among the computed polymorphs**: 43 meV/atom
**Formation energy (no corrections)**: -16 meV/atom
**Fermi-level density of states**: 0.428 states/eV per atom
**Space group**: No. 107

POSCAR file:
```
AlSbAu
1.0
-1.589 1.589 5.918
1.589 -1.589 5.918
1.589 1.589 -5.918
Al Sb Au
1 1 1
direct
0.000 0.000 0.000 Al
0.311 0.311 0.000 Sb
0.619 0.619 0.000 Au
```

Compound: Ca2SbPt
Source: Alexandria
Functional: GGA-PBEsol
Structure: relaxed

Results
**Formation energy (no corrections)**: -572 meV/atom
**Fermi-level density of states**: 0.270 states/eV per atom
**Space group**: No. 25

POSCAR file:
```
Ca2SbPt
1.0
3.443 0.000 0.000
0.000 4.850 0.000
0.000 0.000 6.188
Ca Sb Pt
2 1 1
direct
0.000 0.000 0.000 Ca
0.500 0.500 0.383 Ca
0.500 0.500 0.871 Sb
0.000 0.000 0.457 Pt
```

Compound: ZrTcRh2
Source: Alexandria
Functional: GGA-PBEsol
Structure: relaxed

Results
**Relative energy among the computed polymorphs**: 148 meV/atom
**Energy of formation**: -0.211 eV/atom
**Fermi-level density of states**: 1.073 states/eV per atom
**Space group**: No. 12

POSCAR file:
```
ZrTcRh2
1.0
4.598 -1.425 0.000
4.598 1.425 0.000
-0.911 0.000 4.630
Zr Tc Rh
1 1 2
direct
0.000 0.000 0.000 Zr
0.500 0.500 0.500 Tc
0.245 0.245 0.733 Rh
0.755 0.755 0.267 Rh
```

Compound: KLiSc3
Source: Alexandria
Functional: GGA-PBEsol
Structure: relaxed

Results
**Energy of formation**: 0.784 eV/atom
**Fermi-level density of states**: 2.032 states/eV per atom
**Space group**: No. 221

POSCAR file:
```
KLiSc3
1.0
5.243 0.000 0.000
0.000 5.243 0.000
0.000 0.000 5.243
K Li Sc
1 1 3
direct
0.000 0.000 0.000 K
0.500 0.500 0.500 Li
0.000 0.500 0.500 Sc
0.500 0.000 0.500 Sc
0.500 0.500 0.000 Sc
```

Compound: RuW3O
Source: Alexandria
Functional: GGA-PBEsol
Structure: relaxed

Results
**Formation energy (no corrections)**: 21 meV/atom
**Fermi-level density of states**: 0.735 states/eV per atom
**Space group**: No. 221

POSCAR file:
```
RuW3O
1.0
4.064 0.000 0.000
0.000 4.064 0.000
0.000 0.000 4.064
Ru W O
1 3 1
direct
0.000 0.000 0.000 Ru
0.000 0.500 0.500 W
0.500 0.000 0.500 W
0.500 0.500 0.000 W
0.500 0.500 0.500 O
```

Compound: BaRhW2
Source: Alexandria
Functional: GGA-PBEsol
Structure: relaxed

Results
**Relative energy among the computed polymorphs**: 0 meV/atom
**Energy of formation**: 0.615 eV/atom
**Fermi-level density of states**: 1.495 states/eV per atom
**Space group**: No. 99

POSCAR file:
```
BaRhW2
1.0
3.199 0.000 0.000
0.000 3.199 0.000
0.000 0.000 7.965
Ba Rh W
1 1 2
direct
0.000 0.000 0.000 Ba
0.500 0.500 0.317 Rh
0.000 0.000 0.496 W
0.500 0.500 0.669 W
```

Compound: RbSrAs
Source: Alexandria
Functional: GGA-PBEsol
Structure: relaxed

Results
**Energy of formation**: -0.791 eV/atom
**Space group**: No. 62

POSCAR file:
```
RbSrAs
1.0
8.912 0.000 0.000
0.000 5.213 0.000
0.000 0.000 8.953
Rb Sr As
4 4 4
direct
0.016 0.250 0.167 Rb
0.484 0.750 0.667 Rb
0.516 0.250 0.333 Rb
0.984 0.750 0.833 Rb
0.149 0.250 0.582 Sr
0.351 0.750 0.082 Sr
0.649 0.250 0.918 Sr
0.851 0.750 0.418 Sr
0.200 0.750 0.396 As
0.300 0.250 0.896 As
0.700 0.750 0.104 As
0.800 0.250 0.604 As
```

Question: What is the formula in the first record?
Answer: Tl2Se